1.
SmPu2Au4: optimized geometry, PBE.

a b c (Å): 4.6781 4.6781 8.7327
angles (deg): 105.54 105.54 90.00
Element x y z (fractional)
Au: 0.6209 0.1209 0.2419
Au: 0.1209 0.6209 0.2419
Au: 0.3791 0.8791 0.7581
Au: 0.8791 0.3791 0.7581
Pu: 0.7482 0.7482 0.4964
Pu: 0.2518 0.2518 0.5036
Sm: 0.0000 0.0000 0.0000

Computed properties:
The final energy comes out at -7.053 eV per atom. The calculation puts the magnetization at 12.197 μB per cell.

2.
SmPu2Au6: optimized geometry, PBE.

a b c (Å): 3.5218 8.5857 8.5857
angles (deg): 55.05 78.17 78.17
Element x y z (fractional)
Au: 0.5000 0.6822 0.3178
Au: 0.3251 0.9952 0.3546
Au: 0.3251 0.3546 0.9952
Au: 0.6749 0.0048 0.6454
Au: 0.5000 0.3178 0.6822
Au: 0.6749 0.6454 0.0048
Pu: 0.8574 0.6426 0.6426
Pu: 0.1426 0.3574 0.3574
Sm: 0.0000 0.0000 0.0000

Computed properties:
The final energy comes out at -6.388 eV per atom. The calculation puts the magnetization at 11.243 μB per cell.

3.
Sm2PuAu: optimized geometry, PBE.

a b c (Å): 3.6286 3.6286 8.4191
angles (deg): 90.00 90.00 90.00
Element x y z (fractional)
Pu: 0.5000 0.5000 0.5000
Au: 0.5000 0.5000 0.0000
Sm: 0.0000 0.0000 0.7829
Sm: 0.0000 0.0000 0.2171

Computed properties:
The final energy comes out at -7.034 eV per atom. The calculation puts the magnetization at 6.468 μB per cell.

4.
Sm2PuAu: optimized geometry, PBE.

a b c (Å): 3.6463 3.6463 10.3559
angles (deg): 79.86 79.86 60.00
Element x y z (fractional)
Sm: 0.7400 0.7400 0.7799
Sm: 0.2600 0.2600 0.2201
Pu: 0.5000 0.5000 0.5000
Au: 0.0000 0.0000 0.0000

Computed properties:
The final energy comes out at -6.905 eV per atom. The calculation puts the magnetization at 6.339 μB per cell.

5.
SmPuAu2: optimized geometry, PBE.

a b c (Å): 3.6387 3.6387 7.3781
angles (deg): 90.00 90.00 90.00
Element x y z (fractional)
Sm: 0.5000 0.5000 0.5000
Au: 0.0000 0.0000 0.7426
Au: 0.0000 0.0000 0.2574
Pu: 0.5000 0.5000 0.0000

Computed properties:
The final energy comes out at -6.999 eV per atom. The calculation puts the magnetization at 5.724 μB per cell.

6.
SmPuAu: optimized geometry, PBE.

a b c (Å): 3.4972 5.0316 5.0316
angles (deg): 120.00 90.00 90.00
Element x y z (fractional)
Pu: 0.7065 0.6667 0.3333
Sm: 0.3122 0.3333 0.6667
Au: 0.9814 0.0000 0.0000

Computed properties:
The final energy comes out at -7.642 eV per atom. The calculation puts the magnetization at 5.959 μB per cell.

7.
SmPu4Au5: optimized geometry, PBE.

a b c (Å): 3.5892 3.5892 18.8021
angles (deg): 90.00 90.00 90.00
Element x y z (fractional)
Au: 0.5000 0.5000 0.0968
Au: 0.5000 0.5000 0.7005
Au: 0.5000 0.5000 0.5000
Au: 0.5000 0.5000 0.9032
Au: 0.5000 0.5000 0.2995
Pu: 0.0000 0.0000 0.5997
Pu: 0.0000 0.0000 0.8001
Pu: 0.0000 0.0000 0.1999
Pu: 0.0000 0.0000 0.4003
Sm: 0.0000 0.0000 0.0000

Computed properties:
The final energy comes out at -8.316 eV per atom. The calculation puts the magnetization at 0.137 μB per cell.

8.
SmPuAu2: optimized geometry, PBE.

a b c (Å): 5.1776 5.1776 5.1776
angles (deg): 60.00 60.00 60.00
Element x y z (fractional)
Pu: 0.0000 0.0000 0.0000
Au: 0.2500 0.2500 0.2500
Au: 0.7500 0.7500 0.7500
Sm: 0.5000 0.5000 0.5000

Computed properties:
The final energy comes out at -6.979 eV per atom. The calculation puts the magnetization at 5.791 μB per cell.

9.
Sm4PuAu5: optimized geometry, PBE.

a b c (Å): 3.6362 3.6362 18.4507
angles (deg): 90.00 90.00 90.00
Element x y z (fractional)
Au: 0.5000 0.5000 0.2988
Au: 0.5000 0.5000 0.0968
Au: 0.5000 0.5000 0.7012
Au: 0.5000 0.5000 0.5000
Au: 0.5000 0.5000 0.9032
Sm: 0.0000 0.0000 0.8032
Sm: 0.0000 0.0000 0.1968
Sm: 0.0000 0.0000 0.6011
Sm: 0.0000 0.0000 0.3989
Pu: 0.0000 0.0000 0.0000

Computed properties:
The final energy comes out at -5.426 eV per atom. The calculation puts the magnetization at 0.042 μB per cell.

10.
SmPuAu2: optimized geometry, PBE.

a b c (Å): 4.2923 4.2923 7.3825
angles (deg): 73.10 73.10 60.00
Element x y z (fractional)
Pu: 0.0000 0.0000 0.0000
Sm: 0.5000 0.5000 0.5000
Au: 0.7502 0.7502 0.7494
Au: 0.2498 0.2498 0.2506

Computed properties:
The final energy comes out at -6.856 eV per atom. The calculation puts the magnetization at 5.952 μB per cell.

11.
Sm3PuAu4: optimized geometry, PBE.

a b c (Å): 3.6579 3.6579 14.7118
angles (deg): 90.00 90.00 90.00
Element x y z (fractional)
Au: 0.0000 0.0000 0.3753
Au: 0.0000 0.0000 0.8713
Au: 0.0000 0.0000 0.6247
Au: 0.0000 0.0000 0.1287
Pu: 0.5000 0.5000 0.0000
Sm: 0.5000 0.5000 0.7517
Sm: 0.5000 0.5000 0.2483
Sm: 0.5000 0.5000 0.5000

Computed properties:
The final energy comes out at -5.899 eV per atom. The calculation puts the magnetization at 5.731 μB per cell.

12.
SmPu2Sn2Au2: optimized geometry, PBE.

a b c (Å): 4.7530 4.7530 9.2691
angles (deg): 75.14 75.14 60.00
Element x y z (fractional)
Sm: 0.0000 0.0000 0.0000
Sn: 0.2669 0.2669 0.1992
Sn: 0.7331 0.7331 0.8008
Au: 0.5695 0.5695 0.2916
Au: 0.4305 0.4305 0.7084
Pu: 0.1427 0.1427 0.5720
Pu: 0.8573 0.8573 0.4280

Computed properties:
The final energy comes out at -7.312 eV per atom. The calculation puts the magnetization at 11.132 μB per cell.